# 1
A plane-wave DFT calculation with PBEsol was carried out for crystalline Sc2Sn2Te at its relaxed geometry.

Summary:
The density of states at the Fermi level is 4.63 states/eV per cell. The formation energy from raw total energies comes out at -0.25 eV/atom. Its spin magnetization is 0.00 Bohr magnetons per cell. The total energy comes out at -5.30 eV/atom.

a = 5.9150 Å, b = 5.9150 Å, c = 5.9150 Å
α = 124.34°, β = 124.34°, γ = 82.63°
With the nearest neighbours (Å) after each atom.
Positions (direct):
Sc 0.2500 0.7500 0.5000  4 Sn 2.87
Sc 0.7500 0.2500 0.5000  4 Sn 2.87
Sn 0.1611 0.1611 0.0000  1 Sn 2.86, 4 Sc 2.87, 1 Te 3.01
Sn 0.8389 0.8389 0.0000  1 Sn 2.86, 4 Sc 2.87, 1 Te 3.01
Te 0.5000 0.5000 0.0000  2 Sn 3.01



# 2
A plane-wave DFT calculation with PBEsol was carried out for crystalline Rb2Be4Pt3 at its relaxed geometry.

Summary:
The value obtained for the formation energy is 0.184 eV per atom. The density of states at the Fermi level is 2.53 states/eV per cell. Its spin magnetization is 0.00 Bohr magnetons per cell. The total energy comes out at -4.14 eV/atom.

a = 8.1879 Å, b = 7.1159 Å, c = 5.7645 Å
α = 78.17°, β = 58.28°, γ = 43.56°
With the nearest neighbours (Å) after each atom.
Positions (direct):
Rb 0.1516 0.1516 0.8484  8 Be 3.32-3.49, 6 Pt 3.49-3.51
Rb 0.8484 0.8484 0.1516  8 Be 3.32-3.49, 6 Pt 3.49-3.51
Be 0.2152 0.5566 0.4434  3 Pt 2.22-2.26
Be 0.4434 0.7848 0.2152  3 Pt 2.22-2.26
Be 0.5566 0.2152 0.7848  3 Pt 2.22-2.26
Be 0.7848 0.4434 0.5566  3 Pt 2.22-2.26
Pt 0.0000 0.0000 0.5000  4 Be 2.22
Pt 0.5000 0.5000 0.0000  4 Be 2.22
Pt 0.5000 0.5000 0.5000  4 Be 2.26



Q: Which formula does entry 2 have?
A: Rb2Be4Pt3